12
Lattice="4.230 0.000 0.000 -2.115 3.663 0.000 0.000 0.000 19.661" Properties=species:S:1:pos:R:3 comment="BiSe2O | Alexandria | PBE | relaxed" spacegroup=R-3m polymorph_energy_mev_per_atom=470.3 raw_formation_energy_ev_per_atom=0.478 energy_ev_per_atom=-3.47 dos_at_fermi_per_ev_atom=1.038 pbc="T T T"
Bi 0.000 0.000 0.000
Bi 0.000 2.442 13.108
Bi 2.115 1.221 6.554
Se 0.000 0.000 2.974
Se 0.000 0.000 16.687
Se 0.000 2.442 10.134
Se 0.000 2.442 16.082
Se 2.115 1.221 3.580
Se 2.115 1.221 9.528
O 0.000 0.000 9.831
O 0.000 2.442 3.277
O 2.115 1.221 16.384

4
Lattice="5.062 0.000 0.000 0.000 5.062 0.000 0.000 0.000 4.788" Properties=species:S:1:pos:R:3 comment="K2AlSe | Alexandria | PBE | relaxed" spacegroup=P4/mmm polymorph_energy_mev_per_atom=205.2 raw_formation_energy_ev_per_atom=-0.263 energy_ev_per_atom=-2.62 dos_at_fermi_per_ev_atom=0.486 pbc="T T T"
K 0.000 2.531 0.000
K 2.531 0.000 0.000
Al 0.000 0.000 2.394
Se 2.531 2.531 2.394

4
Lattice="3.212 0.000 0.000 0.000 3.212 0.000 0.000 0.000 6.390" Properties=species:S:1:pos:R:3 comment="Be2SbAs | Alexandria | PBE | relaxed" spacegroup=P4/mmm polymorph_energy_mev_per_atom=399.2 raw_formation_energy_ev_per_atom=0.538 energy_ev_per_atom=-3.52 dos_at_fermi_per_ev_atom=0.419 pbc="T T T"
Be 0.000 0.000 1.077
Be 0.000 0.000 5.312
Sb 1.606 1.606 3.195
As 1.606 1.606 0.000